No. 1
The following is a GGA-PBE calculation of an optimized crystal structure of Na2Cd9Pb, from the Alexandria database.

The space group is P6_3/mmc (No. 194) and the conventional cell measures 6.0196, 6.0196 and 19.2620 Å, with angles of 90.00, 90.00 and 120.00 degrees. Symmetry generates all atoms from Na at (0.3333, 0.6667, 0.0359), Cd at (0.0000, 0.0000, 0.0000), Cd at (0.0000, 0.0000, 0.2500), Cd at (0.1695, 0.3390, 0.6214), Cd at (0.3333, 0.6667, 0.7500) and Pb at (0.3333, 0.6667, 0.2500).

The volume is 302.2 Å³/f.u. The value obtained for the total moment is 0.000 μB/cell. The energy relative to the lowest polymorph listed for this composition comes out at 0.003 eV/atom.

***

No. 2
The following is a GGA-PBE calculation of an optimized crystal structure of SrHN, from the Alexandria database.

The space group is Cmcm (No. 63) and the conventional cell measures 3.0039, 9.4646 and 5.3792 Å, with angles of 90.00, 90.00 and 90.00 degrees. Symmetry generates all atoms from Sr at (0.0000, 0.1390, 0.2500), H at (0.0000, 0.3856, 0.2500) and N at (0.0000, 0.1403, 0.7500).

The volume is 38.2 Å³/f.u. The value obtained for the total moment is 0.000 μB/cell. The value obtained for the calculated total energy is -4.53 eV/atom.

***

No. 3
The following is a GGA-PBE calculation of an optimized crystal structure of Dy7Y4Tm, from the Alexandria database.

The space group is C2/m (No. 12) and the conventional cell measures 11.9739, 5.8837 and 12.6230 Å, with angles of 90.00, 117.76 and 90.00 degrees. Symmetry generates all atoms from Dy at (0.0000, 0.0000, 0.0000), Dy at (0.1337, 0.5000, 0.5015), Dy at (0.2133, 0.0000, 0.9246), Dy at (0.2484, 0.0000, 0.6841), Y at (0.0601, 0.0000, 0.3218), Y at (0.1375, 0.5000, 0.7759) and Tm at (0.0000, 0.5000, 0.0000).

The volume is 393.5 Å³/f.u. The value obtained for the total moment is 0.000 μB/cell. The energy relative to the lowest polymorph listed for this composition comes out at 0.288 eV/atom.

***

No. 4
The following is a GGA-PBE calculation of an optimized crystal structure of ZnCr2Si, from the Alexandria database.

The space group is Immm (No. 71) and the conventional cell measures 3.0867, 4.0417 and 7.9107 Å, with angles of 90.00, 90.00 and 90.00 degrees. Symmetry generates all atoms from Zn at (0.0000, 0.0000, 0.0000), Cr at (0.0000, 0.5000, 0.2432) and Si at (0.0000, 0.0000, 0.5000).

The volume is 49.3 Å³/f.u. For the uncorrected formation energy, the calculation gives 0.5 eV per formula unit. The value obtained for the total moment is 0.001 μB/cell.

***

No. 5
The following is a GGA-PBE calculation of an optimized crystal structure of Sr2LiPrSe4, from the Alexandria database.

The space group is P2/m (No. 10) and the conventional cell measures 7.4281, 4.3589 and 7.4787 Å, with angles of 90.00, 108.95 and 90.00 degrees. Symmetry generates all atoms from Sr at (0.0000, 0.0000, 0.0000), Sr at (0.5000, 0.5000, 0.0000), Li at (0.0000, 0.5000, 0.5000), Pr at (0.5000, 0.0000, 0.5000), Se at (0.2477, 0.0000, 0.7367) and Se at (0.2522, 0.5000, 0.2657).

The volume is 229.0 Å³/f.u. For the uncorrected formation energy, the calculation gives -14.6 eV per formula unit. The value obtained for the total moment is 0.000 μB/cell.

***

No. 6
The following is a GGA-PBE calculation of an optimized crystal structure of Pm6Ge2As3S, from the Alexandria database.

The space group is C2/m (No. 12) and the conventional cell measures 18.3819, 4.1880 and 8.4767 Å, with angles of 90.00, 103.18 and 90.00 degrees. Symmetry generates all atoms from Pm at (0.0000, 0.0000, 0.2490), Pm at (0.1648, 0.5000, 0.0802), Pm at (0.1657, 0.5000, 0.5860), Ge at (0.1658, 0.0000, 0.3318), As at (0.0000, 0.5000, 0.5000), As at (0.1654, 0.0000, 0.8344) and S at (0.0000, 0.5000, 0.0000).

The volume is 317.7 Å³/f.u. For the uncorrected formation energy, the calculation gives -16.4 eV per formula unit. The value obtained for the total moment is 0.000 μB/cell.

***

No. 7
The following is a GGA-PBE calculation of an optimized crystal structure of VNiAu, from the Alexandria database.

The space group is P3m1 (No. 156) and the conventional cell measures 4.2553, 4.2553 and 2.6850 Å, with angles of 90.00, 90.00 and 120.00 degrees. Symmetry generates all atoms from V at (0.0000, 0.0000, 0.0000), Ni at (0.6667, 0.3333, 0.0304) and Au at (0.3333, 0.6667, 0.5104).

The volume is 42.1 Å³/f.u. The value obtained for the total moment is 0.000 μB/cell. The energy relative to the lowest polymorph listed for this composition comes out at 0.101 eV/atom.

***

No. 8
The following is a GGA-PBE calculation of an optimized crystal structure of La2CdSi3Pt12, from the Alexandria database.

The space group is R-3m (No. 166, hexagonal axes) and the conventional cell measures 8.3473, 8.3473 and 18.0498 Å, with angles of 90.00, 90.00 and 120.00 degrees. Symmetry generates all atoms from La at (0.0000, 0.0000, 0.1088), Cd at (0.0000, 0.0000, 0.5000), Si at (0.0000, 0.5000, 0.0000), Pt at (0.0166, 0.5083, 0.8711) and Pt at (0.0326, 0.5163, 0.3675).

The volume is 363.1 Å³/f.u. For the uncorrected formation energy, the calculation gives -8.9 eV per formula unit. The value obtained for the total moment is 0.000 μB/cell.

***

No. 9
The following is a GGA-PBE calculation of an optimized crystal structure of Dy4Y19Tm6, from the Alexandria database.

The space group is I23 (No. 197) and the conventional cell measures 12.4611, 12.4611 and 12.4611 Å, with angles of 90.00, 90.00 and 90.00 degrees. Symmetry generates all atoms from Dy at (0.1783, 0.1783, 0.1783), Y at (0.0000, 0.0000, 0.0000), Y at (0.0000, 0.0000, 0.2631), Y at (0.0622, 0.2781, 0.7331) and Tm at (0.0000, 0.1249, 0.5000).

The volume is 967.5 Å³/f.u. The value obtained for the total moment is 0.216 μB/cell. The value obtained for the calculated total energy is -5.41 eV/atom.

***

No. 10
The following is a GGA-PBE calculation of an optimized crystal structure of LiB2C2, from the Alexandria database.

The space group is R3 (No. 146, hexagonal axes) and the conventional cell measures 4.6884, 4.6884 and 22.0165 Å, with angles of 90.00, 90.00 and 120.00 degrees. Symmetry generates all atoms from Li at (0.0000, 0.0000, 0.9998), Li at (0.0000, 0.0000, 0.1661), Li at (0.0000, 0.0000, 0.6667), B at (0.0000, 0.3333, 0.2516), B at (0.0021, 0.6651, 0.0812), C at (0.0000, 0.6665, 0.2524) and C at (0.0028, 0.3345, 0.7470).

The volume is 46.6 Å³/f.u. The value obtained for the total moment is 0.000 μB/cell. The energy relative to the lowest polymorph listed for this composition comes out at 0.041 eV/atom.

***

No. 11
The following is a GGA-PBE calculation of an optimized crystal structure of VOs3Rh, from the Alexandria database.

The space group is R-3m (No. 166, hexagonal axes) and the conventional cell measures 5.1452, 5.1452 and 13.0476 Å, with angles of 90.00, 90.00 and 120.00 degrees. Symmetry generates all atoms from V at (0.0000, 0.0000, 0.0000), Os at (0.0000, 0.5000, 0.0000) and Rh at (0.0000, 0.0000, 0.5000).

The volume is 99.7 Å³/f.u. The value obtained for the total moment is 0.550 μB/cell. The energy relative to the lowest polymorph listed for this composition comes out at 0.000 eV/atom.